VASP calculation (GGA+U) on a relaxed MnHg3F crystal.

The uncorrected energy comes out at -2.082 eV/atom. The calculation puts the relative energy among the computed polymorphs at 0.0 meV/atom.

The structure belongs to space group Pm-3m (No. 221); the cell edges are 5.465, 5.465 and 5.465 Å and the angles 90.00°, 90.00° and 90.00°. The distinct sites, in fractional coordinates, are Mn at (0.000, 0.000, 0.000), Hg at (0.000, 0.000, 0.500) and F at (0.500, 0.500, 0.500).